No. 1
PmSmPt | the Alexandria database | GGA-PBE | optimized geometry; E_form = -2.5 eV per formula unit; offset from the most stable computed form = 0 meV/atom; M_tot = 0.000 μB/atom; theoretical density = 9.3 Mg/m³; density of states at the Fermi level = 3.22 states/eV/f.u.
1.0
6.785 0.000 0.000
0.000 7.306 0.000
-0.786 0.000 7.047
Pm Sm Pt
4 4 4
direct
0.069 0.239 0.002
0.069 0.261 0.502
0.931 0.739 0.498
0.931 0.761 0.998
0.403 0.611 0.222
0.403 0.889 0.722
0.597 0.111 0.278
0.597 0.389 0.778
0.210 0.549 0.799
0.210 0.951 0.299
0.790 0.049 0.701
0.790 0.451 0.201


No. 2
Ce6GeS2Cl3 | the Alexandria database | GGA-PBE | optimized geometry; M_tot = 0.319 μB/atom; energy relative to the elements, uncorrected = -1552 meV per atom; theoretical density = 6.3 Mg/m³; density of states at the Fermi level = 30.62 states/eV/f.u.
1.0
3.535 -6.132 0.000
3.535 6.132 0.000
-2.365 0.000 6.584
Ce Ge S Cl
6 1 2 3
direct
0.075 0.418 0.756
0.236 0.236 0.239
0.418 0.075 0.756
0.582 0.925 0.244
0.764 0.764 0.761
0.925 0.582 0.244
0.500 0.500 0.000
0.168 0.832 0.000
0.832 0.168 0.000
0.000 0.000 0.500
0.341 0.659 0.500
0.659 0.341 0.500


No. 3
TeAuSe2 | the Alexandria database | GGA-PBE | optimized geometry; offset from the most stable computed form = 223 meV/atom; M_tot = 0.001 μB/atom; energy relative to the elements, uncorrected = 253 meV per atom; theoretical density = 6.6 Mg/m³; density of states at the Fermi level = 4.96 states/eV/f.u.
1.0
3.841 0.000 0.000
0.000 3.841 0.000
0.000 0.000 8.215
Te Au Se
1 1 2
direct
0.000 0.000 0.000
0.500 0.500 0.000
0.000 0.500 0.500
0.500 0.000 0.500


No. 4
CdHgMo2 | the Alexandria database | GGA-PBE | optimized geometry; E_form = 2.2 eV per formula unit; offset from the most stable computed form = 244 meV/atom; M_tot = 0.000 μB/atom; theoretical density = 11.7 Mg/m³; density of states at the Fermi level = 2.53 states/eV/f.u.
1.0
1.817 -2.114 0.000
1.817 2.114 0.000
0.000 0.000 9.344
Cd Hg Mo
1 1 2
direct
0.000 0.000 0.000
0.000 0.000 0.500
0.500 0.500 0.250
0.500 0.500 0.750